Compound: InH2Pd5
Source: Alexandria via LeMat-Bulk
Functional: GGA-PBE
Structure: optimized geometry

Results
DOS(E_F): 0.68 states/eV per atom
E: -36.790 eV/f.u.

```
8
Lattice="-1.982 1.982 6.848 1.982 -1.982 6.848 1.982 1.982 -6.848" Properties=species:S:1:pos:R:3 pbc="T T T"
In 0.000 0.000 0.000
H 0.000 0.000 4.690
H 0.000 0.000 9.006
Pd 1.982 0.000 2.065
Pd 1.982 0.000 4.783
Pd 0.000 0.000 6.848
Pd 0.000 1.982 2.065
Pd 0.000 1.982 4.783
```